The following is a PBE calculation of MgBeOsW after structural relaxation, from OQMD.

CIF file:
```
data_MgBeOsW
_space_group_name_H-M_alt 'F -4 3 m'
_space_group_IT_number 216
_space_group_name_Hall 'F -4 2 3'
_cell_length_a 6.066
_cell_length_b 6.066
_cell_length_c 6.066
_cell_angle_alpha 90.00
_cell_angle_beta 90.00
_cell_angle_gamma 90.00
loop_
_atom_site_label
_atom_site_type_symbol
_atom_site_fract_x
_atom_site_fract_y
_atom_site_fract_z
_atom_site_occupancy
Mg1 Mg 0.000 0.000 0.000 1
Be1 Be 0.250 0.250 0.750 1
Os1 Os 0.000 0.000 0.500 1
W1 W 0.250 0.250 0.250 1
```

Values from the calculation:
The value obtained for the calculated volume is 13.95 A^3/atom. Its energy above the most stable polymorph in this dataset is 0.000 eV/atom. As for the crystal system: cubic.